{
  "formula": "MnTl3",
  "functional": "PBE",
  "state": "optimized geometry",
  "e_tot_ev_per_atom": -3.7175,
  "volume_a3_per_cell": 424.8,
  "formation_energy_kj_per_mol_atoms": 33.7,
  "lattice": [[8.895, 0.000, 0.000], [0.000, 10.458, 0.000], [0.000, 0.000, 4.567]],
  "species": ["Mn", "Mn", "Mn", "Mn", "Tl", "Tl", "Tl", "Tl", "Tl", "Tl", "Tl", "Tl", "Tl", "Tl", "Tl", "Tl"],
  "fractional_positions": [[0.000, 0.086, 0.250], [0.000, 0.914, 0.750], [0.500, 0.414, 0.750], [0.500, 0.586, 0.250], [0.000, 0.382, 0.750], [0.000, 0.618, 0.250], [0.219, 0.130, 0.750], [0.219, 0.870, 0.250], [0.281, 0.370, 0.250], [0.281, 0.630, 0.750], [0.500, 0.118, 0.250], [0.500, 0.882, 0.750], [0.719, 0.370, 0.250], [0.719, 0.630, 0.750], [0.781, 0.130, 0.750], [0.781, 0.870, 0.250]]
}

***

{
  "formula": "MnTl",
  "functional": "PBE",
  "state": "optimized geometry",
  "e_tot_ev_per_atom": -5.2774,
  "volume_a3_per_cell": 84.8,
  "formation_energy_kj_per_mol_atoms": 47.3,
  "lattice": [[3.275, 0.000, 0.000], [0.000, 3.275, 0.000], [0.000, 0.000, 7.908]],
  "species": ["Mn", "Mn", "Tl", "Tl"],
  "fractional_positions": [[0.250, 0.250, 0.091], [0.750, 0.750, 0.909], [0.250, 0.250, 0.673], [0.750, 0.750, 0.327]]
}

***

{
  "formula": "MnTl2",
  "functional": "PBE",
  "state": "optimized geometry",
  "e_tot_ev_per_atom": -4.2254,
  "volume_a3_per_cell": 290.8,
  "formation_energy_kj_per_mol_atoms": 39.4,
  "lattice": [[14.833, 0.000, 0.000], [0.000, 3.281, 0.000], [-2.981, 0.000, 5.977]],
  "species": ["Mn", "Mn", "Mn", "Mn", "Tl", "Tl", "Tl", "Tl", "Tl", "Tl", "Tl", "Tl"],
  "fractional_positions": [[0.000, 0.000, 0.213], [0.000, 0.000, 0.787], [0.500, 0.500, 0.213], [0.500, 0.500, 0.787], [0.128, 0.500, 0.626], [0.155, 0.500, 0.153], [0.345, 0.000, 0.847], [0.372, 0.000, 0.374], [0.628, 0.000, 0.626], [0.655, 0.000, 0.153], [0.845, 0.500, 0.847], [0.872, 0.500, 0.374]]
}

***

{
  "formula": "MnTl",
  "functional": "PBE",
  "state": "optimized geometry",
  "e_tot_ev_per_atom": -5.1749,
  "volume_a3_per_cell": 89.2,
  "formation_energy_kj_per_mol_atoms": 57.2,
  "lattice": [[4.468, 0.000, 0.000], [-2.234, 3.869, 0.000], [0.000, 0.000, 5.160]],
  "species": ["Mn", "Mn", "Tl", "Tl"],
  "fractional_positions": [[0.000, 0.000, 0.000], [0.000, 0.000, 0.500], [0.333, 0.667, 0.250], [0.667, 0.333, 0.750]]
}

***

{
  "formula": "MnTl3",
  "functional": "PBE",
  "state": "optimized geometry",
  "e_tot_ev_per_atom": -3.7282,
  "volume_a3_per_cell": 103.9,
  "formation_energy_kj_per_mol_atoms": 32.7,
  "lattice": [[3.419, 0.000, 0.000], [-1.709, 2.961, 0.000], [0.000, 0.000, 10.262]],
  "species": ["Mn", "Tl", "Tl", "Tl"],
  "fractional_positions": [[0.000, 0.000, 0.000], [0.000, 0.000, 0.500], [0.667, 0.333, 0.218], [0.667, 0.333, 0.782]]
}

***

{
  "formula": "Mn2Tl",
  "functional": "PBE",
  "state": "optimized geometry",
  "e_tot_ev_per_atom": -6.0818,
  "volume_a3_per_cell": 198.0,
  "formation_energy_kj_per_mol_atoms": 79.1,
  "lattice": [[3.815, 0.000, 0.000], [0.000, 3.815, 0.000], [0.000, 0.000, 13.605]],
  "species": ["Mn", "Mn", "Mn", "Mn", "Mn", "Mn", "Mn", "Mn", "Tl", "Tl", "Tl", "Tl"],
  "fractional_positions": [[0.000, 0.250, 0.293], [0.000, 0.250, 0.457], [0.000, 0.750, 0.543], [0.000, 0.750, 0.707], [0.500, 0.250, 0.043], [0.500, 0.250, 0.207], [0.500, 0.750, 0.793], [0.500, 0.750, 0.957], [0.000, 0.250, 0.875], [0.000, 0.750, 0.125], [0.500, 0.250, 0.625], [0.500, 0.750, 0.375]]
}

***

{
  "formula": "Mn2Tl",
  "functional": "PBE",
  "state": "optimized geometry",
  "e_tot_ev_per_atom": -6.3748,
  "volume_a3_per_cell": 209.5,
  "formation_energy_kj_per_mol_atoms": 50.8,
  "lattice": [[-2.035, 2.035, 12.643], [2.035, -2.035, 12.643], [2.035, 2.035, -12.643]],
  "species": ["Mn", "Mn", "Mn", "Mn", "Mn", "Mn", "Mn", "Mn", "Tl", "Tl", "Tl", "Tl"],
  "fractional_positions": [[0.046, 0.796, 0.250], [0.123, 0.373, 0.750], [0.204, 0.954, 0.250], [0.373, 0.123, 0.250], [0.627, 0.877, 0.750], [0.796, 0.046, 0.750], [0.877, 0.627, 0.250], [0.954, 0.204, 0.750], [0.297, 0.547, 0.750], [0.453, 0.703, 0.750], [0.547, 0.297, 0.250], [0.703, 0.453, 0.250]]
}

***

{
  "formula": "MnTl",
  "functional": "PBE",
  "state": "optimized geometry",
  "e_tot_ev_per_atom": -4.5718,
  "volume_a3_per_cell": 461.1,
  "formation_energy_kj_per_mol_atoms": 115.4,
  "lattice": [[7.726, 0.000, 0.000], [0.000, 7.726, 0.000], [0.000, 0.000, 7.726]],
  "species": ["Mn", "Mn", "Mn", "Mn", "Mn", "Mn", "Tl", "Tl", "Tl", "Tl", "Tl", "Tl"],
  "fractional_positions": [[0.000, 0.250, 0.500], [0.000, 0.750, 0.500], [0.250, 0.500, 0.000], [0.500, 0.000, 0.250], [0.500, 0.000, 0.750], [0.750, 0.500, 0.000], [0.000, 0.500, 0.250], [0.000, 0.500, 0.750], [0.250, 0.000, 0.500], [0.500, 0.250, 0.000], [0.500, 0.750, 0.000], [0.750, 0.000, 0.500]]
}

***

{
  "formula": "Mn7Tl",
  "functional": "PBE",
  "state": "optimized geometry",
  "e_tot_ev_per_atom": -7.8956,
  "volume_a3_per_cell": 113.8,
  "formation_energy_kj_per_mol_atoms": 40.9,
  "lattice": [[0.000, 3.846, 3.846], [3.846, 0.000, 3.846], [3.846, 3.846, 0.000]],
  "species": ["Mn", "Mn", "Mn", "Mn", "Mn", "Mn", "Mn", "Tl"],
  "fractional_positions": [[0.000, 0.000, 0.000], [0.000, 0.000, 0.500], [0.000, 0.500, 0.000], [0.000, 0.500, 0.500], [0.500, 0.000, 0.000], [0.500, 0.000, 0.500], [0.500, 0.500, 0.000], [0.500, 0.500, 0.500]]
}

***

{
  "formula": "Mn3Tl4",
  "functional": "PBE",
  "state": "optimized geometry",
  "e_tot_ev_per_atom": -4.8208,
  "volume_a3_per_cell": 313.4,
  "formation_energy_kj_per_mol_atoms": 44.5,
  "lattice": [[3.353, 0.000, 0.000], [0.000, 3.353, 0.000], [0.000, 0.000, 27.878]],
  "species": ["Mn", "Mn", "Mn", "Mn", "Mn", "Mn", "Tl", "Tl", "Tl", "Tl", "Tl", "Tl", "Tl", "Tl"],
  "fractional_positions": [[0.000, 0.000, 0.000], [0.000, 0.000, 0.275], [0.000, 0.000, 0.725], [0.500, 0.500, 0.225], [0.500, 0.500, 0.500], [0.500, 0.500, 0.775], [0.000, 0.000, 0.160], [0.000, 0.000, 0.433], [0.000, 0.000, 0.567], [0.000, 0.000, 0.840], [0.500, 0.500, 0.067], [0.500, 0.500, 0.340], [0.500, 0.500, 0.660], [0.500, 0.500, 0.933]]
}

***

{
  "formula": "MnTl",
  "functional": "PBE",
  "state": "optimized geometry",
  "e_tot_ev_per_atom": -5.0260,
  "volume_a3_per_cell": 359.1,
  "formation_energy_kj_per_mol_atoms": 71.6,
  "lattice": [[7.108, 0.000, 0.000], [0.000, 7.108, 0.000], [0.000, 0.000, 7.108]],
  "species": ["Mn", "Mn", "Mn", "Mn", "Mn", "Mn", "Mn", "Mn", "Tl", "Tl", "Tl", "Tl", "Tl", "Tl", "Tl", "Tl"],
  "fractional_positions": [[0.125, 0.125, 0.125], [0.125, 0.625, 0.625], [0.375, 0.375, 0.875], [0.375, 0.875, 0.375], [0.625, 0.125, 0.625], [0.625, 0.625, 0.125], [0.875, 0.375, 0.375], [0.875, 0.875, 0.875], [0.125, 0.125, 0.625], [0.125, 0.625, 0.125], [0.375, 0.375, 0.375], [0.375, 0.875, 0.875], [0.625, 0.125, 0.125], [0.625, 0.625, 0.625], [0.875, 0.375, 0.875], [0.875, 0.875, 0.375]]
}

***

{
  "formula": "MnTl2",
  "functional": "PBE",
  "state": "optimized geometry",
  "e_tot_ev_per_atom": -4.2476,
  "volume_a3_per_cell": 291.4,
  "formation_energy_kj_per_mol_atoms": 37.3,
  "lattice": [[10.998, 0.000, 0.000], [0.000, 3.231, 0.000], [-1.300, 0.000, 8.200]],
  "species": ["Mn", "Mn", "Mn", "Mn", "Tl", "Tl", "Tl", "Tl", "Tl", "Tl", "Tl", "Tl"],
  "fractional_positions": [[0.000, 0.000, 0.000], [0.146, 0.500, 0.215], [0.500, 0.500, 0.000], [0.646, 0.000, 0.215], [0.010, 0.500, 0.708], [0.223, 0.000, 0.528], [0.266, 0.000, 0.969], [0.429, 0.500, 0.319], [0.510, 0.000, 0.708], [0.723, 0.500, 0.528], [0.766, 0.500, 0.969], [0.929, 0.000, 0.319]]
}